12
Lattice="-0.405 -1.207 -5.526 6.742 0.917 -0.695 -2.463 -6.230 1.541" Properties=species:S:1:pos:R:3 comment="PuAlZnPt3 PBE optimized geometry" ef_mev_per_atom=-538 pbc="T T T"
Al 0.578 -4.622 -0.488
Pt 1.975 0.269 -0.203
Pu 0.229 -4.292 -3.444
Pt 1.772 -0.335 -2.967
Al 3.295 -1.898 -4.192
Zn -0.220 -1.437 -4.035
Zn 4.094 -5.083 -0.645
Pt 4.767 0.648 -0.491
Pt 0.216 -2.322 -0.964
Pt 3.657 -4.197 -3.716
Pu 3.645 -2.228 -1.236
Pt 4.565 0.045 -3.254